Below is a relaxed structure of BaSrMgPb, with properties calculated at the PBE level.

Energy of formation in eV per formula unit: -1.44
Energy in eV per cell: -10.35
Density of states at the Fermi level in states/eV/atom: 0.401

Structure (POSCAR):
```
BaSrMgPb
1.0
0.000 4.220 4.220
4.220 0.000 4.220
4.220 4.220 0.000
Ba Sr Mg Pb
1 1 1 1
Cartesian
0.000 0.000 0.000
4.220 4.220 4.220
2.110 2.110 2.110
6.331 6.331 6.331
```

***

Below is a relaxed structure of Ba2TbMg3Pb4, with properties calculated at the PBE level.

Energy of formation in eV per formula unit: -4.10
Energy in eV per cell: -32.19
Density of states at the Fermi level in states/eV/atom: 0.360

Structure (POSCAR):
```
Ba2TbMg3Pb4
1.0
5.152 0.000 0.000
0.000 5.152 0.000
0.000 0.000 12.350
Ba Tb Mg Pb
2 1 3 4
Cartesian
0.000 2.576 2.864
2.576 0.000 9.486
0.000 0.000 6.175
0.000 2.576 10.812
2.576 0.000 1.538
2.576 2.576 6.175
0.000 0.000 0.000
0.000 2.576 7.909
2.576 0.000 4.441
2.576 2.576 0.000
```

***

Below is a relaxed structure of BaMgTe3Pb, with properties calculated at the PBE level.

Energy in eV per cell: -45.16
Formation energy (no corrections) in eV/atom: -0.988
Density of states at the Fermi level in states/eV/atom: 0.000

Structure (POSCAR):
```
BaMgTe3Pb
1.0
9.812 0.000 0.000
0.000 4.646 0.000
-2.206 0.000 10.254
Ba Mg Te Pb
2 2 6 2
Cartesian
1.308 1.162 2.194
6.298 3.485 8.060
-0.412 1.162 6.197
8.018 3.485 4.058
-0.916 1.162 8.915
0.873 3.485 5.154
3.872 3.485 1.741
3.734 1.162 8.513
6.733 1.162 5.100
8.522 3.485 1.339
1.481 3.485 8.914
6.125 1.162 1.340
```

***

Below is a relaxed structure of Ba2MgTl4Pb3, with properties calculated at the PBE level.

Energy of formation in eV per formula unit: -2.21
Energy in eV per cell: -28.24
Density of states at the Fermi level in states/eV/atom: 0.479

Structure (POSCAR):
```
Ba2MgTl4Pb3
1.0
4.973 0.000 0.000
0.000 4.973 0.000
0.000 0.000 14.078
Ba Mg Tl Pb
2 1 4 3
Cartesian
0.000 2.486 3.448
2.486 0.000 10.630
2.486 2.486 0.000
0.000 0.000 7.039
0.000 2.486 12.192
2.486 0.000 1.886
2.486 2.486 7.039
0.000 0.000 0.000
0.000 2.486 9.081
2.486 0.000 4.996
```

***

Below is a relaxed structure of BaMg2TlPb2, with properties calculated at the PBE level.

Energy of formation in eV per formula unit: -1.54
Energy in eV per cell: -16.43
Density of states at the Fermi level in states/eV/atom: 0.934

Structure (POSCAR):
```
BaMg2TlPb2
1.0
5.211 0.000 0.000
-2.606 4.513 0.000
0.000 0.000 7.917
Ba Mg Tl Pb
1 2 1 2
Cartesian
0.000 0.000 0.000
0.000 3.009 5.148
2.606 1.504 2.769
0.000 0.000 3.959
0.000 3.009 1.964
2.606 1.504 5.953
```

***

Below is a relaxed structure of BaMg2Tl2Pb, with properties calculated at the PBE level.

Energy of formation in eV per formula unit: -1.27
Energy in eV per cell: -14.83
Density of states at the Fermi level in states/eV/atom: 0.691

Structure (POSCAR):
```
BaMg2Tl2Pb
1.0
5.199 0.000 0.000
-2.599 4.502 0.000
0.000 0.000 7.906
Ba Mg Tl Pb
1 2 2 1
Cartesian
0.000 0.000 0.000
0.000 3.001 5.213
2.599 1.501 2.694
0.000 3.001 1.951
2.599 1.501 5.955
0.000 0.000 3.953
```

***

Below is a relaxed structure of Ba2Mg3TlPb4, with properties calculated at the PBE level.

Energy of formation in eV per formula unit: -3.15
Energy in eV per cell: -28.98
Density of states at the Fermi level in states/eV/atom: 0.378

Structure (POSCAR):
```
Ba2Mg3TlPb4
1.0
5.124 0.000 0.000
0.000 5.124 0.000
0.000 0.000 12.371
Ba Mg Tl Pb
2 3 1 4
Cartesian
0.000 2.562 3.039
2.562 0.000 9.332
0.000 2.562 10.807
2.562 0.000 1.563
2.562 2.562 6.185
0.000 0.000 6.185
0.000 0.000 0.000
0.000 2.562 7.929
2.562 0.000 4.441
2.562 2.562 0.000
```

***

Below is a relaxed structure of Ba2YMg3Pb4, with properties calculated at the PBE level.

Energy of formation in eV per formula unit: -4.16
Energy in eV per cell: -34.08
Density of states at the Fermi level in states/eV/atom: 0.364

Structure (POSCAR):
```
Ba2YMg3Pb4
1.0
5.146 0.000 0.000
0.000 5.146 0.000
0.000 0.000 12.357
Ba Y Mg Pb
2 1 3 4
Cartesian
0.000 2.573 2.867
2.573 0.000 9.490
0.000 0.000 6.178
0.000 2.573 10.815
2.573 0.000 1.542
2.573 2.573 6.178
0.000 0.000 0.000
0.000 2.573 7.912
2.573 0.000 4.445
2.573 2.573 0.000
```

***

Below is a relaxed structure of Ba3Mg2Zn2Pb4, with properties calculated at the PBE level.

Energy of formation in eV per formula unit: -3.51
Energy in eV per cell: -29.85
Density of states at the Fermi level in states/eV/atom: 0.531

Structure (POSCAR):
```
Ba3Mg2Zn2Pb4
1.0
4.856 0.000 0.000
-2.428 4.205 0.000
0.000 0.000 18.491
Ba Mg Zn Pb
3 2 2 4
Cartesian
0.000 0.000 0.000
0.000 0.000 4.984
0.000 0.000 13.507
0.000 2.803 10.179
2.428 1.402 8.312
0.000 2.803 2.599
2.428 1.402 15.892
0.000 2.803 7.197
0.000 2.803 16.070
2.428 1.402 2.421
2.428 1.402 11.294
```

***

Below is a relaxed structure of Ba2MgZn3Pb4, with properties calculated at the PBE level.

Energy of formation in eV per formula unit: -3.12
Energy in eV per cell: -27.22
Density of states at the Fermi level in states/eV/atom: 0.189

Structure (POSCAR):
```
Ba2MgZn3Pb4
1.0
4.906 0.000 0.000
0.000 4.906 0.000
0.000 0.000 12.049
Ba Mg Zn Pb
2 1 3 4
Cartesian
0.000 2.453 3.018
2.453 0.000 9.031
0.000 0.000 6.025
0.000 2.453 10.423
2.453 0.000 1.626
2.453 2.453 6.025
0.000 0.000 0.000
0.000 2.453 7.647
2.453 0.000 4.402
2.453 2.453 0.000
```

***

Below is a relaxed structure of Ba2MgPd2, with properties calculated at the PBE level.

Energy of formation in eV per formula unit: -2.10
Energy in eV per cell: -35.86
Density of states at the Fermi level in states/eV/atom: 0.270

Structure (POSCAR):
```
Ba2MgPd2
1.0
8.121 0.000 0.000
0.000 8.121 0.000
0.000 0.000 4.529
Ba Mg Pd
4 2 4
Cartesian
1.383 2.678 0.000
2.678 6.739 0.000
5.444 1.383 0.000
6.739 5.444 0.000
0.000 0.000 2.265
4.061 4.061 2.265
1.049 5.110 2.265
3.011 1.049 2.265
5.110 7.072 2.265
7.072 3.011 2.265
```

***

Below is a relaxed structure of Ba2Mg2Pd, with properties calculated at the PBE level.

Energy of formation in eV per formula unit: -1.34
Energy in eV per cell: -27.13
Offset from the most stable computed form in meV/atom: 0
Density of states at the Fermi level in states/eV/atom: 0.803

Structure (POSCAR):
```
Ba2Mg2Pd
1.0
6.522 -3.547 0.000
6.522 3.547 0.000
-2.406 0.000 7.240
Ba Mg Pd
4 4 2
Cartesian
1.700 0.581 0.953
0.497 -0.581 4.573
10.142 0.581 2.668
8.938 -0.581 6.288
4.055 0.683 3.867
5.381 0.683 6.993
5.258 -0.683 0.247
6.584 -0.683 3.373
5.921 1.430 1.810
4.718 -1.430 5.430
```

***

Below is a relaxed structure of BaMg2Pd2, with properties calculated at the PBE level.

Energy of formation in eV per formula unit: -2.22
Energy in eV per cell: -35.43
Offset from the most stable computed form in meV/atom: 118
Density of states at the Fermi level in states/eV/atom: 0.459

Structure (POSCAR):
```
BaMg2Pd2
1.0
8.263 0.000 0.000
0.000 8.263 0.000
0.000 0.000 3.197
Ba Mg Pd
2 4 4
Cartesian
0.000 0.000 0.000
4.132 4.132 0.000
1.049 3.082 1.598
3.082 7.214 1.598
5.181 1.049 1.598
7.214 5.181 1.598
1.314 5.446 0.000
2.817 1.314 0.000
5.446 6.949 0.000
6.949 2.817 0.000
```

***

Below is a relaxed structure of BaMg5Pd2, with properties calculated at the PBE level.

Energy of formation in eV per formula unit: -3.44
Energy in eV per cell: -23.72
Density of states at the Fermi level in states/eV/atom: 0.460

Structure (POSCAR):
```
BaMg5Pd2
1.0
-2.168 4.140 5.403
2.168 -4.140 5.403
2.168 4.140 -5.403
Ba Mg Pd
1 5 2
Cartesian
0.000 0.000 0.000
2.168 2.609 -1.778
2.168 2.609 1.778
0.000 4.140 0.000
0.000 1.531 3.625
0.000 1.531 7.181
2.168 0.000 2.764
0.000 4.140 2.639
```

***

Below is a relaxed structure of BaMg9Pd3, with properties calculated at the PBE level.

Energy of formation in eV per formula unit: -4.65
Energy in eV per cell: -36.50
Density of states at the Fermi level in states/eV/atom: 0.525

Structure (POSCAR):
```
BaMg9Pd3
1.0
2.850 -7.280 0.000
2.850 7.280 0.000
-2.531 0.000 6.810
Ba Mg Pd
1 9 3
Cartesian
0.000 0.000 0.000
-1.266 0.000 3.405
0.294 4.644 4.571
0.366 1.697 5.301
2.874 4.644 2.238
2.802 1.697 1.509
0.366 -1.697 5.301
0.294 -4.644 4.571
2.802 -1.697 1.509
2.874 -4.644 2.238
1.425 3.640 0.000
1.425 -3.640 0.000
1.584 0.000 3.405
```

***

Below is a relaxed structure of BaMgPd, with properties calculated at the PBE level.

Energy of formation in eV per formula unit: -1.51
Energy in eV per cell: -20.44
Density of states at the Fermi level in states/eV/atom: 0.316

Structure (POSCAR):
```
BaMgPd
1.0
4.498 0.000 0.000
0.000 8.556 0.000
0.000 0.000 4.500
Ba Mg Pd
2 2 2
Cartesian
0.000 1.416 0.000
2.249 7.140 2.250
0.000 4.276 2.256
2.249 4.280 0.006
0.000 5.910 0.002
2.249 2.646 2.252
```

***

Below is a relaxed structure of BaMgPd2, with properties calculated at the PBE level.

Energy of formation in eV per formula unit: -1.32
Energy in eV per cell: -30.45
Density of states at the Fermi level in states/eV/atom: 0.457

Structure (POSCAR):
```
BaMgPd2
1.0
-2.622 2.622 8.652
2.622 -2.622 8.652
2.622 2.622 -8.652
Ba Mg Pd
2 2 4
Cartesian
0.000 0.000 0.000
0.000 2.622 4.326
2.622 0.000 4.326
0.000 0.000 8.652
1.311 -0.211 6.489
2.411 1.311 2.163
1.311 2.833 -2.163
0.211 1.311 10.814
```

***

Below is a relaxed structure of Ba2Mg2Pd, with properties calculated at the PBE level.

Energy of formation in eV per formula unit: -0.45
Energy in eV per cell: -25.35
Offset from the most stable computed form in meV/atom: 178
Density of states at the Fermi level in states/eV/atom: 0.820

Structure (POSCAR):
```
Ba2Mg2Pd
1.0
7.433 0.000 0.000
0.000 7.433 0.000
0.000 0.000 5.845
Ba Mg Pd
4 4 2
Cartesian
1.332 2.384 0.000
2.384 6.101 0.000
5.049 1.332 0.000
6.101 5.049 0.000
1.116 4.832 2.923
2.601 1.116 2.923
4.832 6.317 2.923
6.317 2.601 2.923
0.000 0.000 2.923
3.717 3.717 2.923
```

***

Below is a relaxed structure of Ba6MgPd2, with properties calculated at the PBE level.

Energy of formation in eV per formula unit: -2.45
Energy in eV per cell: -51.93
Density of states at the Fermi level in states/eV/atom: 1.030

Structure (POSCAR):
```
Ba6MgPd2
1.0
-5.475 5.714 6.106
5.475 -5.714 6.106
5.475 5.714 -6.106
Ba Mg Pd
12 2 4
Cartesian
5.475 3.454 -3.184
3.172 2.005 0.000
7.777 2.005 0.000
1.961 5.714 -2.013
3.513 0.000 4.093
0.000 2.260 2.922
5.475 3.454 3.184
1.961 5.714 2.013
3.513 0.000 8.120
-2.302 3.708 6.106
2.302 3.708 6.106
0.000 2.260 9.290
0.000 0.000 0.000
0.000 0.000 6.106
5.475 0.000 1.487
0.000 3.513 0.000
0.000 7.914 0.000
0.000 5.714 4.619
```

***

Below is a relaxed structure of BaMgPd, with properties calculated at the PBE level.

Energy of formation in eV per formula unit: -1.31
Energy in eV per cell: -10.02
Density of states at the Fermi level in states/eV/atom: 0.298

Structure (POSCAR):
```
BaMgPd
1.0
4.670 0.000 0.000
-2.335 4.044 0.000
0.000 0.000 4.796
Ba Mg Pd
1 1 1
Cartesian
0.000 0.000 0.000
0.000 2.696 2.398
2.335 1.348 2.398
```

***

no.,spin magnetization (μB per formula unit)
1,0.000
2,0.000
3,0.000
4,0.000
5,0.000
6,0.000
7,0.000
8,0.000
9,0.000
10,0.000
11,0.000
12,0.000
13,0.000
14,0.000
15,0.000
16,0.000
17,0.000
18,0.000
19,0.001
20,0.000